Record 1
{
  "formula": "Mg7Zn2Cd2",
  "functional": "PBE",
  "state": "optimized geometry",
  "lattice_angstrom": [[-1.624, 7.915, 4.628], [1.624, -7.915, 4.628], [1.624, 7.915, -4.628]],
  "species": ["Mg", "Mg", "Mg", "Mg", "Mg", "Mg", "Mg", "Zn", "Zn", "Cd", "Cd"],
  "fractional_positions": [[0.000, 0.000, 0.000], [0.335, 0.451, 0.884], [0.338, 0.664, 0.674], [0.568, 0.451, 0.116], [0.593, 0.250, 0.342], [0.908, 0.250, 0.658], [0.989, 0.664, 0.326], [0.192, 0.951, 0.241], [0.711, 0.951, 0.759], [0.266, 0.766, 0.500], [0.692, 0.692, 0.000]],
  "formation_enthalpy_0k_kj_per_mol_atoms": -3,
  "space_group": "Imm2, No. 44"
}

Record 2
{
  "formula": "MgZn8Cd3",
  "functional": "PBE",
  "state": "optimized geometry",
  "lattice_angstrom": [[2.597, 1.500, 8.852], [-2.597, 1.500, 8.852], [0.000, -2.999, 8.852]],
  "species": ["Mg", "Zn", "Zn", "Zn", "Zn", "Zn", "Zn", "Zn", "Zn", "Cd", "Cd", "Cd"],
  "fractional_positions": [[0.000, 0.000, 0.000], [0.187, 0.187, 0.187], [0.436, 0.937, 0.937], [0.438, 0.438, 0.938], [0.438, 0.938, 0.438], [0.687, 0.687, 0.687], [0.937, 0.436, 0.937], [0.937, 0.937, 0.436], [0.938, 0.438, 0.438], [0.372, 0.372, 0.372], [0.499, 0.499, 0.499], [0.878, 0.878, 0.878]],
  "formation_enthalpy_0k_kj_per_mol_atoms": 1,
  "space_group": "R3m, No. 160"
}

Record 3
{
  "formula": "MgZnCd3",
  "functional": "PBE",
  "state": "optimized geometry",
  "lattice_angstrom": [[5.455, 0.000, 0.000], [0.000, 5.455, 0.000], [0.000, 0.000, 5.455]],
  "species": ["Mg", "Zn", "Cd", "Cd", "Cd"],
  "fractional_positions": [[0.000, 0.000, 0.000], [0.500, 0.500, 0.500], [0.000, 0.000, 0.500], [0.000, 0.500, 0.000], [0.500, 0.000, 0.000]],
  "formation_enthalpy_0k_kj_per_mol_atoms": 44,
  "space_group": "Pm-3m, No. 221"
}

Record 4
{
  "formula": "MgZnCd3",
  "functional": "PBE",
  "state": "optimized geometry",
  "lattice_angstrom": [[5.102, 0.000, 0.000], [0.000, 5.102, 0.000], [0.000, 0.000, 5.102]],
  "species": ["Mg", "Zn", "Cd", "Cd", "Cd"],
  "fractional_positions": [[0.000, 0.000, 0.000], [0.500, 0.500, 0.500], [0.000, 0.500, 0.500], [0.500, 0.000, 0.500], [0.500, 0.500, 0.000]],
  "formation_enthalpy_0k_kj_per_mol_atoms": 26,
  "space_group": "Pm-3m, No. 221"
}

Record 5
{
  "formula": "Mg2ZnCd",
  "functional": "PBE",
  "state": "optimized geometry",
  "lattice_angstrom": [[3.273, 0.000, 0.000], [0.000, 4.853, 0.000], [0.000, 0.000, 10.239]],
  "species": ["Mg", "Mg", "Mg", "Mg", "Zn", "Zn", "Cd", "Cd"],
  "fractional_positions": [[0.000, 0.000, 0.000], [0.000, 0.500, 0.224], [0.500, 0.000, 0.724], [0.500, 0.500, 0.500], [0.000, 0.500, 0.730], [0.500, 0.000, 0.230], [0.000, 0.000, 0.460], [0.500, 0.500, 0.960]],
  "formation_enthalpy_0k_kj_per_mol_atoms": -4,
  "space_group": "Imm2, No. 44"
}

Record 6
{
  "formula": "MgZnCd3",
  "functional": "PBE",
  "state": "optimized geometry",
  "lattice_angstrom": [[7.665, 0.000, 0.000], [0.000, 6.028, 0.000], [-3.476, 0.000, 9.131]],
  "species": ["Mg", "Mg", "Mg", "Mg", "Zn", "Zn", "Zn", "Zn", "Cd", "Cd", "Cd", "Cd", "Cd", "Cd", "Cd", "Cd", "Cd", "Cd", "Cd", "Cd"],
  "fractional_positions": [[0.146, 0.048, 0.310], [0.146, 0.452, 0.810], [0.854, 0.548, 0.190], [0.854, 0.952, 0.690], [0.465, 0.665, 0.079], [0.465, 0.835, 0.579], [0.535, 0.165, 0.421], [0.535, 0.335, 0.921], [0.087, 0.732, 0.531], [0.087, 0.768, 0.031], [0.284, 0.555, 0.327], [0.284, 0.945, 0.827], [0.333, 0.221, 0.114], [0.333, 0.279, 0.614], [0.667, 0.721, 0.386], [0.667, 0.779, 0.886], [0.716, 0.055, 0.173], [0.716, 0.445, 0.673], [0.913, 0.232, 0.969], [0.913, 0.268, 0.469]],
  "formation_enthalpy_0k_kj_per_mol_atoms": -1,
  "space_group": "P2_1/c, No. 14"
}

Record 7
{
  "formula": "Mg12ZnCd3",
  "functional": "PBE",
  "state": "optimized geometry",
  "lattice_angstrom": [[4.470, 0.000, 0.000], [0.000, 4.470, 0.000], [0.000, 0.000, 17.319]],
  "species": ["Mg", "Mg", "Mg", "Mg", "Mg", "Mg", "Mg", "Mg", "Mg", "Mg", "Mg", "Mg", "Zn", "Cd", "Cd", "Cd"],
  "fractional_positions": [[0.000, 0.000, 0.000], [0.000, 0.000, 0.246], [0.000, 0.000, 0.500], [0.000, 0.000, 0.754], [0.000, 0.500, 0.118], [0.000, 0.500, 0.373], [0.000, 0.500, 0.627], [0.000, 0.500, 0.882], [0.500, 0.000, 0.118], [0.500, 0.000, 0.373], [0.500, 0.000, 0.627], [0.500, 0.000, 0.882], [0.500, 0.500, 0.000], [0.500, 0.500, 0.246], [0.500, 0.500, 0.500], [0.500, 0.500, 0.754]],
  "formation_enthalpy_0k_kj_per_mol_atoms": -5,
  "space_group": "P4/mmm, No. 123"
}

Record 8
{
  "formula": "Mg4ZnCd7",
  "functional": "PBE",
  "state": "optimized geometry",
  "lattice_angstrom": [[5.138, 0.000, 0.000], [-0.562, 6.290, 0.000], [-0.090, -2.546, 8.155]],
  "species": ["Mg", "Mg", "Mg", "Mg", "Zn", "Cd", "Cd", "Cd", "Cd", "Cd", "Cd", "Cd"],
  "fractional_positions": [[0.226, 0.115, 0.245], [0.247, 0.624, 0.225], [0.753, 0.376, 0.775], [0.774, 0.885, 0.755], [0.000, 0.500, 0.500], [0.239, 0.215, 0.929], [0.256, 0.011, 0.581], [0.261, 0.686, 0.861], [0.500, 0.500, 0.500], [0.739, 0.314, 0.139], [0.744, 0.989, 0.419], [0.761, 0.785, 0.071]],
  "formation_enthalpy_0k_kj_per_mol_atoms": -3,
  "space_group": "P-1, No. 2"
}

Record 9
{
  "formula": "Mg6Zn2Cd",
  "functional": "PBE",
  "state": "optimized geometry",
  "lattice_angstrom": [[-4.311, 4.496, 4.871], [4.311, -4.496, 4.871], [4.311, 4.496, -4.871]],
  "species": ["Mg", "Mg", "Mg", "Mg", "Mg", "Mg", "Mg", "Mg", "Mg", "Mg", "Mg", "Mg", "Zn", "Zn", "Zn", "Zn", "Cd", "Cd"],
  "fractional_positions": [[0.040, 0.827, 0.212], [0.252, 0.552, 0.300], [0.252, 0.951, 0.700], [0.282, 0.310, 0.592], [0.282, 0.690, 0.972], [0.385, 0.173, 0.212], [0.615, 0.827, 0.788], [0.718, 0.310, 0.028], [0.718, 0.690, 0.408], [0.748, 0.049, 0.300], [0.748, 0.448, 0.700], [0.960, 0.173, 0.788], [0.000, 0.155, 0.155], [0.000, 0.845, 0.845], [0.371, 0.371, 0.000], [0.629, 0.629, 0.000], [0.000, 0.500, 0.500], [0.500, 0.000, 0.500]],
  "formation_enthalpy_0k_kj_per_mol_atoms": -6,
  "space_group": "Immm, No. 71"
}

Record 10
{
  "formula": "Mg2ZnCd",
  "functional": "PBE",
  "state": "optimized geometry",
  "lattice_angstrom": [[6.402, 0.000, 0.000], [0.000, 9.194, 0.000], [-1.428, 0.000, 5.484]],
  "species": ["Mg", "Mg", "Mg", "Mg", "Mg", "Mg", "Mg", "Mg", "Zn", "Zn", "Zn", "Zn", "Cd", "Cd", "Cd", "Cd"],
  "fractional_positions": [[0.000, 0.000, 0.000], [0.001, 0.500, 0.019], [0.153, 0.264, 0.671], [0.153, 0.736, 0.671], [0.500, 0.500, 0.000], [0.501, 0.000, 0.019], [0.653, 0.236, 0.671], [0.653, 0.764, 0.671], [0.335, 0.000, 0.500], [0.392, 0.500, 0.490], [0.835, 0.500, 0.500], [0.892, 0.000, 0.490], [0.294, 0.250, 0.205], [0.294, 0.750, 0.205], [0.794, 0.250, 0.205], [0.794, 0.750, 0.205]],
  "formation_enthalpy_0k_kj_per_mol_atoms": -7,
  "space_group": "Cm, No. 8"
}

Record 11
{
  "formula": "Mg4ZnCd",
  "functional": "PBE",
  "state": "optimized geometry",
  "lattice_angstrom": [[6.571, 0.000, 0.000], [0.000, 6.571, 0.000], [-0.016, 0.000, 6.694]],
  "species": ["Mg", "Mg", "Mg", "Mg", "Mg", "Mg", "Mg", "Mg", "Zn", "Zn", "Cd", "Cd"],
  "fractional_positions": [[0.250, 0.250, 0.235], [0.250, 0.250, 0.765], [0.250, 0.750, 0.235], [0.250, 0.750, 0.765], [0.750, 0.250, 0.235], [0.750, 0.250, 0.765], [0.750, 0.750, 0.235], [0.750, 0.750, 0.765], [0.000, 0.000, 0.000], [0.500, 0.500, 0.000], [0.000, 0.500, 0.500], [0.500, 0.000, 0.500]],
  "formation_enthalpy_0k_kj_per_mol_atoms": 4,
  "space_group": "C2/m, No. 12"
}

Record 12
{
  "formula": "Mg10Zn3Cd3",
  "functional": "PBE",
  "state": "optimized geometry",
  "lattice_angstrom": [[8.263, 0.000, 0.000], [-4.132, 7.156, 0.000], [0.000, 0.000, 5.732]],
  "species": ["Mg", "Mg", "Mg", "Mg", "Mg", "Mg", "Mg", "Mg", "Mg", "Mg", "Zn", "Zn", "Zn", "Cd", "Cd", "Cd"],
  "fractional_positions": [[0.000, 0.248, 0.000], [0.000, 0.757, 0.500], [0.243, 0.243, 0.500], [0.248, 0.000, 0.000], [0.333, 0.667, 0.243], [0.333, 0.667, 0.757], [0.667, 0.333, 0.243], [0.667, 0.333, 0.757], [0.752, 0.752, 0.000], [0.757, 0.000, 0.500], [0.000, 0.605, 0.000], [0.395, 0.395, 0.000], [0.605, 0.000, 0.000], [0.000, 0.399, 0.500], [0.399, 0.000, 0.500], [0.601, 0.601, 0.500]],
  "formation_enthalpy_0k_kj_per_mol_atoms": -6,
  "space_group": "P-62m, No. 189"
}

- What is the formula in the eighth record?
  Mg4ZnCd7

Copy entry 6 word for word.
{
  "formula": "MgZnCd3",
  "functional": "PBE",
  "state": "optimized geometry",
  "lattice_angstrom": [[7.665, 0.000, 0.000], [0.000, 6.028, 0.000], [-3.476, 0.000, 9.131]],
  "species": ["Mg", "Mg", "Mg", "Mg", "Zn", "Zn", "Zn", "Zn", "Cd", "Cd", "Cd", "Cd", "Cd", "Cd", "Cd", "Cd", "Cd", "Cd", "Cd", "Cd"],
  "fractional_positions": [[0.146, 0.048, 0.310], [0.146, 0.452, 0.810], [0.854, 0.548, 0.190], [0.854, 0.952, 0.690], [0.465, 0.665, 0.079], [0.465, 0.835, 0.579], [0.535, 0.165, 0.421], [0.535, 0.335, 0.921], [0.087, 0.732, 0.531], [0.087, 0.768, 0.031], [0.284, 0.555, 0.327], [0.284, 0.945, 0.827], [0.333, 0.221, 0.114], [0.333, 0.279, 0.614], [0.667, 0.721, 0.386], [0.667, 0.779, 0.886], [0.716, 0.055, 0.173], [0.716, 0.445, 0.673], [0.913, 0.232, 0.969], [0.913, 0.268, 0.469]],
  "formation_enthalpy_0k_kj_per_mol_atoms": -1,
  "space_group": "P2_1/c, No. 14"
}